Version i
A plane-wave DFT calculation with PBE-GGA was carried out for an optimized crystal structure of CsBa2NaHg.

Lattice parameters (Å, degrees): 6.7009 6.7009 7.2408 90.00 90.00 90.00
Space group P4/mmm (No. 123)
Asymmetric unit:
Cs  0.0000  0.0000  0.0000
Ba  0.0000  0.5000  0.5000
Na  0.5000  0.5000  0.0000
Hg  0.0000  0.0000  0.5000

=====

Version ii
A plane-wave DFT calculation with PBE-GGA was carried out for an optimized crystal structure of CsBa2NaHg.

Lattice parameters (Å, degrees): 6.7744 6.7744 6.4240 90.00 90.00 90.00
Space group P4/mmm (No. 123)
Asymmetric unit:
Cs  0.0000  0.0000  0.0000
Ba  0.0000  0.5000  0.5000
Na  0.5000  0.5000  0.0000
Hg  0.5000  0.5000  0.5000

=====

Result of the stability comparison: version i is the least stable of them.

=====

Version i
A plane-wave DFT calculation with PBE-GGA was carried out for an optimized crystal structure of Cs2BaHgPt.

Lattice parameters (Å, degrees): 6.7157 6.7157 6.0985 90.00 90.00 90.00
Space group P4/mmm (No. 123)
Asymmetric unit:
Cs  0.0000  0.5000  0.0000
Ba  0.0000  0.0000  0.5000
Hg  0.5000  0.5000  0.5000
Pt  0.0000  0.0000  0.0000

=====

Version ii
A plane-wave DFT calculation with PBE-GGA was carried out for an optimized crystal structure of Cs2BaHgPt.

Lattice parameters (Å, degrees): 8.2985 8.2985 5.6616 90.00 90.00 90.00
Space group P4/mmm (No. 123)
Asymmetric unit:
Cs  0.0000  0.5000  0.0000
Ba  0.0000  0.0000  0.0000
Hg  0.5000  0.5000  0.5000
Pt  0.0000  0.0000  0.5000

=====

Result of the stability comparison: version ii is the least stable of them.

=====

Version i
A plane-wave DFT calculation with PBE-GGA was carried out for an optimized crystal structure of Cs4BaI5.

Lattice parameters (Å, degrees): 5.3450 5.3450 68.3565 90.00 90.00 120.00
Space group R-3m (No. 166, hexagonal axes)
Asymmetric unit:
Cs  0.0000  0.0000  0.1035
Cs  0.0000  0.0000  0.2987
Ba  0.0000  0.0000  0.5000
I  0.0000  0.0000  0.0000
I  0.0000  0.0000  0.1942
I  0.0000  0.0000  0.4027

=====

Version ii
A plane-wave DFT calculation with PBE-GGA was carried out for an optimized crystal structure of Cs4BaI5.

Lattice parameters (Å, degrees): 12.1895 12.1895 7.7001 90.00 90.00 90.00
Space group I4 (No. 79)
Asymmetric unit:
Cs  0.0933  0.3009  0.0000
Ba  0.0000  0.0000  0.4999
I  0.0000  0.0000  0.0027
I  0.0932  0.2759  0.5000

=====

Result of the stability comparison: version ii is the least stable of them.

=====

Version i
A plane-wave DFT calculation with PBE-GGA was carried out for an optimized crystal structure of CsBa4I8.

Lattice parameters (Å, degrees): 8.5009 8.5009 8.5009 90.00 90.00 90.00
Space group Pm-3m (No. 221)
Asymmetric unit:
Cs  0.0000  0.0000  0.0000
Ba  0.0000  0.0000  0.5000
Ba  0.5000  0.5000  0.5000
I  0.2519  0.2519  0.2519

=====

Version ii
A plane-wave DFT calculation with PBE-GGA was carried out for an optimized crystal structure of CsBa4I8.

Lattice parameters (Å, degrees): 14.9317 14.9317 14.9317 90.00 90.00 90.00
Space group F-43m (No. 216)
Asymmetric unit:
Cs  0.0000  0.0000  0.0000
Ba  0.1214  0.1214  0.3786
I  0.1123  0.1123  0.6123
I  0.1431  0.1431  0.1431

=====

Result of the stability comparison: version i is the least stable of them.

=====

Version i
A plane-wave DFT calculation with PBE-GGA was carried out for an optimized crystal structure of CsBaI2O.

Lattice parameters (Å, degrees): 6.8277 6.8277 4.6196 90.00 90.00 90.00
Space group P4/mmm (No. 123)
Asymmetric unit:
Cs  0.0000  0.0000  0.0000
Ba  0.5000  0.5000  0.5000
I  0.0000  0.5000  0.0000
O  0.0000  0.0000  0.5000

=====

Version ii
A plane-wave DFT calculation with PBE-GGA was carried out for an optimized crystal structure of CsBaI2O.

Lattice parameters (Å, degrees): 7.0545 7.0545 4.6105 90.00 90.00 90.00
Space group P4/mmm (No. 123)
Asymmetric unit:
Cs  0.0000  0.0000  0.0000
Ba  0.5000  0.5000  0.5000
I  0.0000  0.5000  0.5000
O  0.5000  0.5000  0.0000

=====

Result of the stability comparison: version i is the least stable of them.

=====

Version i
A plane-wave DFT calculation with PBE-GGA was carried out for an optimized crystal structure of Cs2BaPbI6.

Lattice parameters (Å, degrees): 13.1501 13.1501 13.1501 90.00 90.00 90.00
Space group Fm-3m (No. 225)
Asymmetric unit:
Cs  0.2500  0.2500  0.2500
Ba  0.0000  0.0000  0.0000
Pb  0.0000  0.0000  0.5000
I  0.0000  0.0000  0.2567

=====

Version ii
A plane-wave DFT calculation with PBE-GGA was carried out for an optimized crystal structure of Cs2BaPbI6.

Lattice parameters (Å, degrees): 8.9042 9.3504 15.5527 90.00 124.39 90.00
Space group P2_1/c (No. 14)
Asymmetric unit:
Cs  0.2220  0.0748  0.2483
Ba  0.5000  0.0000  0.0000
Pb  0.0000  0.0000  0.5000
I  0.1352  0.2080  0.9475
I  0.2443  0.6932  0.9485
I  0.3439  0.0257  0.7414

=====

Result of the stability comparison: version i is the least stable of them.

=====

Version i
A plane-wave DFT calculation with PBE-GGA was carried out for an optimized crystal structure of CsBaSbI2.

Lattice parameters (Å, degrees): 6.8034 6.8034 6.9394 90.00 90.00 90.00
Space group P4/mmm (No. 123)
Asymmetric unit:
Cs  0.0000  0.0000  0.0000
Ba  0.5000  0.5000  0.5000
Sb  0.5000  0.5000  0.0000
I  0.0000  0.5000  0.5000

=====

Version ii
A plane-wave DFT calculation with PBE-GGA was carried out for an optimized crystal structure of CsBaSbI2.

Lattice parameters (Å, degrees): 6.7545 6.7545 6.4237 90.00 90.00 90.00
Space group P4/mmm (No. 123)
Asymmetric unit:
Cs  0.0000  0.0000  0.0000
Ba  0.5000  0.5000  0.5000
Sb  0.0000  0.0000  0.5000
I  0.0000  0.5000  0.0000

=====

Result of the stability comparison: version ii is the least stable of them.

=====

Version i
A plane-wave DFT calculation with PBE-GGA was carried out for an optimized crystal structure of CsBaSb2I.

Lattice parameters (Å, degrees): 6.1866 6.1866 6.7773 90.00 90.00 90.00
Space group P4/mmm (No. 123)
Asymmetric unit:
Cs  0.0000  0.0000  0.0000
Ba  0.5000  0.5000  0.5000
Sb  0.0000  0.5000  0.0000
I  0.0000  0.0000  0.5000

=====

Version ii
A plane-wave DFT calculation with PBE-GGA was carried out for an optimized crystal structure of CsBaSb2I.

Lattice parameters (Å, degrees): 6.6359 6.6359 6.8069 90.00 90.00 90.00
Space group P4/mmm (No. 123)
Asymmetric unit:
Cs  0.0000  0.0000  0.0000
Ba  0.5000  0.5000  0.5000
Sb  0.0000  0.5000  0.5000
I  0.5000  0.5000  0.0000

=====

Result of the stability comparison: version i is the least stable of them.